An optimized crystal structure of CrN. Source: Alexandria via LeMat-Bulk, functional PBE. Values from VASP.

Geometry as Quantum ESPRESSO input:
```
&SYSTEM
  ibrav = 0, nat = 16, ntyp = 2
/
ATOMIC_SPECIES
Cr 52.00 Cr.upf
N 14.01 N.upf
CELL_PARAMETERS angstrom
8.0527 0.0000 0.0000
0.0000 8.0527 0.0000
0.0000 0.0000 3.1610
ATOMIC_POSITIONS crystal
Cr 0.0888 0.6294 0.0000
Cr 0.1417 0.2906 0.5000
Cr 0.2906 0.8582 0.5000
Cr 0.3706 0.0888 0.0000
Cr 0.6294 0.9112 0.0000
Cr 0.7094 0.1417 0.5000
Cr 0.8582 0.7094 0.5000
Cr 0.9112 0.3706 0.0000
N 0.0862 0.7585 0.5000
N 0.1554 0.4098 0.0000
N 0.2415 0.0862 0.5000
N 0.4098 0.8446 0.0000
N 0.5902 0.1554 0.0000
N 0.7585 0.9138 0.5000
N 0.8446 0.5902 0.0000
N 0.9138 0.2415 0.5000
```

Results
- V: 12.81 Å³ per atom
- Formation energy (no corrections): -80 kJ/mol of formula units
- Uncorrected energy: -9.39 eV per atom